Record 1
# KCrW2 (PBE, relaxed)
data_KCrW2
_chemical_formula_sum 'K4 Cr4 W8'
_space_group_name_H-M_alt 'I -4 2 d'
_space_group_IT_number 122
_space_group_name_Hall 'I -4 2bw'
_cell_length_a 5.0649
_cell_length_b 5.0649
_cell_length_c 16.1935
_cell_angle_alpha 90.00
_cell_angle_beta 90.00
_cell_angle_gamma 90.00
loop_
_atom_site_label
_atom_site_type_symbol
_atom_site_fract_x
_atom_site_fract_y
_atom_site_fract_z
K1 K 0.0000 0.0000 0.0000
Cr1 Cr 0.0000 0.0000 0.5000
W1 W 0.0474 0.7500 0.6250
# Total magnetization, μB/atom: 0.00
# DFT total energy, eV/cell: -112.688
# Density, g cm⁻³: 7.336
# V, Å³/cell: 415.41
# Energy above the most stable polymorph in this dataset, eV per atom: 1.247
# Formation energy, meV per atom: 2114

=====

Record 2
# K3CrW (PBE, relaxed)
data_K3CrW
_chemical_formula_sum 'K3 Cr1 W1'
_space_group_name_H-M_alt 'P m -3 m'
_space_group_IT_number 221
_space_group_name_Hall '-P 4 2 3'
_cell_length_a 6.4910
_cell_length_b 6.4910
_cell_length_c 6.4910
_cell_angle_alpha 90.00
_cell_angle_beta 90.00
_cell_angle_gamma 90.00
loop_
_atom_site_label
_atom_site_type_symbol
_atom_site_fract_x
_atom_site_fract_y
_atom_site_fract_z
K1 K 0.0000 0.0000 0.5000
Cr1 Cr 0.0000 0.0000 0.0000
W1 W 0.5000 0.5000 0.5000
# Total magnetization, μB/atom: 2.20
# DFT total energy, eV/cell: -16.168
# Density, g cm⁻³: 2.144
# V, Å³/cell: 273.48
# Formation energy, meV per atom: 1940

=====

Record 3
# K2CrW (PBE, relaxed)
data_K2CrW
_chemical_formula_sum 'K2 Cr1 W1'
_space_group_name_H-M_alt 'P 4/m m m'
_space_group_IT_number 123
_space_group_name_Hall '-P 4 2'
_cell_length_a 2.9090
_cell_length_b 2.9090
_cell_length_c 12.0021
_cell_angle_alpha 90.00
_cell_angle_beta 90.00
_cell_angle_gamma 90.00
loop_
_atom_site_label
_atom_site_type_symbol
_atom_site_fract_x
_atom_site_fract_y
_atom_site_fract_z
K1 K 0.0000 0.0000 0.2408
Cr1 Cr 0.5000 0.5000 0.5000
W1 W 0.5000 0.5000 0.0000
# Total magnetization, μB/atom: 1.27
# DFT total energy, eV/cell: -18.198
# Density, g cm⁻³: 5.134
# V, Å³/cell: 101.57
# Energy above the most stable polymorph in this dataset, eV per atom: 0.688
# Formation energy, meV per atom: 1643

=====

Record 4
# K2CrW (PBE, relaxed)
data_K2CrW
_chemical_formula_sum 'K2 Cr1 W1'
_space_group_name_H-M_alt 'P 1 2/m 1'
_space_group_IT_number 10
_cell_length_a 2.8837
_cell_length_b 6.1811
_cell_length_c 5.2535
_cell_angle_alpha 90.00
_cell_angle_beta 92.59
_cell_angle_gamma 90.00
loop_
_space_group_symop_operation_xyz
'x,y,z'
'-x,-y,-z'
'-x,y,-z'
'x,-y,z'
loop_
_atom_site_label
_atom_site_type_symbol
_atom_site_fract_x
_atom_site_fract_y
_atom_site_fract_z
K1 K 0.2391 0.0000 0.2520
Cr1 Cr 0.0000 0.5000 0.5000
W1 W 0.5000 0.5000 0.0000
# Total magnetization, μB/atom: 0.69
# DFT total energy, eV/cell: -18.480
# Density, g cm⁻³: 5.574
# V, Å³/cell: 93.55
# Energy above the most stable polymorph in this dataset, eV per atom: 0.618
# Formation energy, meV per atom: 1573

=====

Record 5
# KCrW2 (PBE, relaxed)
data_KCrW2
_chemical_formula_sum 'K2 Cr2 W4'
_space_group_name_H-M_alt 'C m m m'
_space_group_IT_number 65
_space_group_name_Hall '-C 2 2'
_cell_length_a 5.4110
_cell_length_b 10.2485
_cell_length_c 2.7030
_cell_angle_alpha 90.00
_cell_angle_beta 90.00
_cell_angle_gamma 90.00
loop_
_atom_site_label
_atom_site_type_symbol
_atom_site_fract_x
_atom_site_fract_y
_atom_site_fract_z
K1 K 0.0000 0.0000 0.0000
Cr1 Cr 0.0000 0.5000 0.0000
W1 W 0.2500 0.2500 0.5000
# Total magnetization, μB/atom: 0.74
# DFT total energy, eV/cell: -60.348
# Density, g cm⁻³: 10.165
# V, Å³/cell: 149.89
# Energy above the most stable polymorph in this dataset, eV per atom: 0.746
# Formation energy, meV per atom: 1613

=====

Record 6
# KCr2W (PBE, relaxed)
data_KCr2W
_chemical_formula_sum 'K2 Cr4 W2'
_space_group_name_H-M_alt 'C m m 2'
_space_group_IT_number 35
_cell_length_a 2.9881
_cell_length_b 4.5353
_cell_length_c 10.0372
_cell_angle_alpha 90.00
_cell_angle_beta 90.00
_cell_angle_gamma 90.00
loop_
_space_group_symop_operation_xyz
'x,y,z'
'-x,-y,z'
'-x,y,z'
'x,-y,z'
'x+1/2,y+1/2,z'
'-x+1/2,-y+1/2,z'
'-x+1/2,y+1/2,z'
'x+1/2,-y+1/2,z'
loop_
_atom_site_label
_atom_site_type_symbol
_atom_site_fract_x
_atom_site_fract_y
_atom_site_fract_z
K1 K 0.0000 0.0000 0.0000
Cr1 Cr 0.0000 0.0000 0.4740
Cr2 Cr 0.0000 0.5000 0.3022
W1 W 0.0000 0.5000 0.6866
# Total magnetization, μB/atom: 0.00
# DFT total energy, eV/cell: -59.292
# Density, g cm⁻³: 7.982
# V, Å³/cell: 136.02
# Energy above the most stable polymorph in this dataset, eV per atom: 0.075
# Formation energy, meV per atom: 913

=====

Record 7
# K2CrW (PBE, relaxed)
data_K2CrW
_chemical_formula_sum 'K8 Cr4 W4'
_space_group_name_H-M_alt 'I -4 2 d'
_space_group_IT_number 122
_space_group_name_Hall 'I -4 2bw'
_cell_length_a 12.6090
_cell_length_b 12.6090
_cell_length_c 4.6286
_cell_angle_alpha 90.00
_cell_angle_beta 90.00
_cell_angle_gamma 90.00
loop_
_atom_site_label
_atom_site_type_symbol
_atom_site_fract_x
_atom_site_fract_y
_atom_site_fract_z
K1 K 0.0852 0.7500 0.1250
Cr1 Cr 0.0000 0.0000 0.0000
W1 W 0.0000 0.0000 0.5000
# Total magnetization, μB/atom: 0.08
# DFT total energy, eV/cell: -72.376
# Density, g cm⁻³: 2.834
# V, Å³/cell: 735.89
# Energy above the most stable polymorph in this dataset, eV per atom: 0.714
# Formation energy, meV per atom: 1669

=====

Record 8
# KCrW2 (PBE, relaxed)
data_KCrW2
_chemical_formula_sum 'K2 Cr2 W4'
_space_group_name_H-M_alt 'C m m m'
_space_group_IT_number 65
_space_group_name_Hall '-C 2 2'
_cell_length_a 3.0723
_cell_length_b 4.5635
_cell_length_c 10.3590
_cell_angle_alpha 90.00
_cell_angle_beta 90.00
_cell_angle_gamma 90.00
loop_
_atom_site_label
_atom_site_type_symbol
_atom_site_fract_x
_atom_site_fract_y
_atom_site_fract_z
K1 K 0.0000 0.0000 0.0000
Cr1 Cr 0.0000 0.0000 0.5000
W1 W 0.0000 0.5000 0.3046
# Total magnetization, μB/atom: 0.00
# DFT total energy, eV/cell: -66.320
# Density, g cm⁻³: 10.491
# V, Å³/cell: 145.24
# Energy above the most stable polymorph in this dataset, eV per atom: 0.000
# Formation energy, meV per atom: 867

=====

Record 9
# KCr3W (PBE, relaxed)
data_KCr3W
_chemical_formula_sum 'K1 Cr3 W1'
_space_group_name_H-M_alt 'P m -3 m'
_space_group_IT_number 221
_space_group_name_Hall '-P 4 2 3'
_cell_length_a 4.1771
_cell_length_b 4.1771
_cell_length_c 4.1771
_cell_angle_alpha 90.00
_cell_angle_beta 90.00
_cell_angle_gamma 90.00
loop_
_atom_site_label
_atom_site_type_symbol
_atom_site_fract_x
_atom_site_fract_y
_atom_site_fract_z
K1 K 0.0000 0.0000 0.0000
Cr1 Cr 0.0000 0.0000 0.5000
W1 W 0.5000 0.5000 0.5000
# Total magnetization, μB/atom: 0.26
# DFT total energy, eV/cell: -28.547
# Density, g cm⁻³: 8.633
# V, Å³/cell: 72.88
# Energy above the most stable polymorph in this dataset, eV per atom: 1.450
# Formation energy, meV per atom: 2875

=====

Record 10
# KCr2W (PBE, relaxed)
data_KCr2W
_chemical_formula_sum 'K1 Cr2 W1'
_space_group_name_H-M_alt 'P m m m'
_space_group_IT_number 47
_cell_length_a 2.9005
_cell_length_b 4.8113
_cell_length_c 5.3824
_cell_angle_alpha 90.00
_cell_angle_beta 90.00
_cell_angle_gamma 90.00
loop_
_space_group_symop_operation_xyz
'x,y,z'
'-x,-y,-z'
'-x,-y,z'
'x,y,-z'
'x,-y,-z'
'-x,y,z'
'-x,y,-z'
'x,-y,z'
loop_
_atom_site_label
_atom_site_type_symbol
_atom_site_fract_x
_atom_site_fract_y
_atom_site_fract_z
K1 K 0.0000 0.0000 0.0000
Cr1 Cr 0.0000 0.5000 0.5000
Cr2 Cr 0.5000 0.5000 0.0000
W1 W 0.5000 0.0000 0.5000
# Total magnetization, μB/atom: 0.38
# DFT total energy, eV/cell: -26.364
# Density, g cm⁻³: 7.228
# V, Å³/cell: 75.11
# Energy above the most stable polymorph in this dataset, eV per atom: 0.895
# Formation energy, meV per atom: 1733

=====

Record 11
# KCr2W (PBE, relaxed)
data_KCr2W
_chemical_formula_sum 'K1 Cr2 W1'
_space_group_name_H-M_alt 'P 1 2/m 1'
_space_group_IT_number 10
_cell_length_a 5.3666
_cell_length_b 2.5624
_cell_length_c 5.3870
_cell_angle_alpha 90.00
_cell_angle_beta 112.63
_cell_angle_gamma 90.00
loop_
_space_group_symop_operation_xyz
'x,y,z'
'-x,-y,-z'
'-x,y,-z'
'x,-y,z'
loop_
_atom_site_label
_atom_site_type_symbol
_atom_site_fract_x
_atom_site_fract_y
_atom_site_fract_z
K1 K 0.0000 0.0000 0.0000
Cr1 Cr 0.0000 0.5000 0.5000
Cr2 Cr 0.5000 0.0000 0.0000
W1 W 0.5000 0.5000 0.5000
# Total magnetization, μB/atom: 0.64
# DFT total energy, eV/cell: -26.679
# Density, g cm⁻³: 7.940
# V, Å³/cell: 68.38
# Energy above the most stable polymorph in this dataset, eV per atom: 0.816
# Formation energy, meV per atom: 1655

=====

Record 12
# KCr4W (PBE, relaxed)
data_KCr4W
_chemical_formula_sum 'K4 Cr16 W4'
_space_group_name_H-M_alt 'F -4 3 m'
_space_group_IT_number 216
_space_group_name_Hall 'F -4 2 3'
_cell_length_a 7.0797
_cell_length_b 7.0797
_cell_length_c 7.0797
_cell_angle_alpha 90.00
_cell_angle_beta 90.00
_cell_angle_gamma 90.00
loop_
_atom_site_label
_atom_site_type_symbol
_atom_site_fract_x
_atom_site_fract_y
_atom_site_fract_z
K1 K 0.0000 0.0000 0.0000
Cr1 Cr 0.1255 0.1255 0.3745
W1 W 0.2500 0.2500 0.7500
# Total magnetization, μB/atom: 0.00
# DFT total energy, eV/cell: -181.674
# Density, g cm⁻³: 8.066
# V, Å³/cell: 354.85
# Formation energy, meV per atom: 1188